i) CdSe2F | PBE | relaxed

Summary:
For the volume, the calculation gives 18.76 Å³ per atom. Its crystal system is trigonal.

Cell: 9.478 9.478 9.478 Å, 18.52 18.52 18.52°
Sites, in units of the cell vectors:
F: 0.500 0.500 0.500
Se: 0.905 0.905 0.905
Se: 0.095 0.095 0.095
Cd: 0.000 0.000 0.000

=====

ii) CdSe2F | PBE | relaxed

Summary:
For the volume, the calculation gives 18.15 Å³ per atom. Its crystal system is cubic.

Cell: 4.683 4.683 4.683 Å, 60.00 60.00 60.00°
Sites, in units of the cell vectors:
F: 0.000 0.000 0.000
Se: 0.250 0.250 0.250
Se: 0.750 0.750 0.750
Cd: 0.500 0.500 0.500

=====

Verdict on stability: ii) comes out on top.

=====

i) CdSeF3 | PBE | relaxed

Summary:
For the volume, the calculation gives 17.85 Å³ per atom. Its crystal system is cubic.

Cell: 4.469 4.469 4.469 Å, 90.00 90.00 90.00°
Sites, in units of the cell vectors:
F: 0.000 0.500 0.000
F: 0.000 0.000 0.500
F: 0.500 0.000 0.000
Se: 0.500 0.500 0.500
Cd: 0.000 0.000 0.000

=====

ii) CdSeF3 | PBE | relaxed

Summary:
For the volume, the calculation gives 15.84 Å³ per atom. Its crystal system is cubic.

Cell: 4.295 4.295 4.295 Å, 90.00 90.00 90.00°
Sites, in units of the cell vectors:
F: 0.000 0.500 0.000
F: 0.000 0.000 0.500
F: 0.500 0.000 0.000
Se: 0.000 0.000 0.000
Cd: 0.500 0.500 0.500

=====

Verdict on stability: i) comes out on top.

=====

i) CdSi3F | PBE | relaxed

Summary:
For the volume, the calculation gives 25.74 Å³ per atom. Its crystal system is cubic.

Cell: 5.049 5.049 5.049 Å, 90.00 90.00 90.00°
Sites, in units of the cell vectors:
Si: 0.000 0.500 0.000
Si: 0.000 0.000 0.500
Si: 0.500 0.000 0.000
F: 0.500 0.500 0.500
Cd: 0.000 0.000 0.000

=====

ii) CdSi3F | PBE | relaxed

Summary:
For the volume, the calculation gives 18.28 Å³ per atom. Its crystal system is cubic.

Cell: 4.505 4.505 4.505 Å, 90.00 90.00 90.00°
Sites, in units of the cell vectors:
Si: 0.000 0.500 0.000
Si: 0.000 0.000 0.500
Si: 0.500 0.000 0.000
F: 0.000 0.000 0.000
Cd: 0.500 0.500 0.500

=====

Verdict on stability: ii) comes out on top.

=====

i) Cd2SnF | PBE | relaxed

Summary:
For the volume, the calculation gives 21.12 Å³ per atom. Its crystal system is trigonal.

Cell: 3.275 3.275 9.290 Å, 79.85 79.85 60.00°
Sites, in units of the cell vectors:
F: 0.000 0.000 0.000
Sn: 0.500 0.500 0.500
Cd: 0.267 0.267 0.199
Cd: 0.733 0.733 0.801

=====

ii) Cd2SnF | PBE | relaxed

Summary:
For the volume, the calculation gives 26.83 Å³ per atom. Its crystal system is tetragonal.

Cell: 5.633 5.633 7.851 Å, 68.98 68.98 90.00°
Sites, in units of the cell vectors:
F: 0.500 0.500 0.000
F: 0.250 0.750 0.500
Sn: 0.000 0.000 0.000
Sn: 0.750 0.250 0.500
Cd: 0.550 0.125 0.250
Cd: 0.200 0.625 0.250
Cd: 0.375 0.450 0.750
Cd: 0.875 0.800 0.750

=====

iii) Cd2SnF | PBE | relaxed

Summary:
For the volume, the calculation gives 21.24 Å³ per atom. Its crystal system is cubic.

Cell: 4.934 4.934 4.934 Å, 60.00 60.00 60.00°
Sites, in units of the cell vectors:
F: 0.000 0.000 0.000
Sn: 0.500 0.500 0.500
Cd: 0.250 0.250 0.250
Cd: 0.750 0.750 0.750

=====

Verdict on stability: i) comes out on top.

=====

i) Cd2SnF6 | PBE | relaxed

Summary:
For the volume, the calculation gives 16.96 Å³ per atom. Its crystal system is trigonal.

Cell: 4.994 5.940 5.940 Å, 120.00 90.00 90.00°
Sites, in units of the cell vectors:
Cd: 0.500 0.667 0.333
Cd: 0.500 0.333 0.667
Sn: 0.000 0.000 0.000
F: 0.733 0.660 0.660
F: 0.267 0.660 0.000
F: 0.267 0.000 0.660
F: 0.733 0.340 0.000
F: 0.267 0.340 0.340
F: 0.733 0.000 0.340

=====

ii) Cd2SnF6 | PBE | relaxed

Summary:
For the volume, the calculation gives 17.87 Å³ per atom. Its crystal system is monoclinic.

Cell: 4.234 6.197 7.134 Å, 68.90 72.74 70.02°
Sites, in units of the cell vectors:
Cd: 0.178 0.764 0.881
Cd: 0.822 0.236 0.119
Sn: 0.000 0.500 0.500
F: 0.740 0.635 0.884
F: 0.260 0.365 0.116
F: 0.985 0.835 0.194
F: 0.364 0.692 0.580
F: 0.015 0.165 0.806
F: 0.636 0.308 0.420

=====

Verdict on stability: i) comes out on top.

=====

i) Cd3SnF | PBE | relaxed

Summary:
For the volume, the calculation gives 23.32 Å³ per atom. Its crystal system is cubic.

Cell: 4.885 4.885 4.885 Å, 90.00 90.00 90.00°
Sites, in units of the cell vectors:
F: 0.000 0.000 0.000
Sn: 0.500 0.500 0.500
Cd: 0.000 0.500 0.000
Cd: 0.000 0.000 0.500
Cd: 0.500 0.000 0.000

=====

ii) Cd3SnF | PBE | relaxed

Summary:
For the volume, the calculation gives 34.89 Å³ per atom. Its crystal system is cubic.

Cell: 5.587 5.587 5.587 Å, 90.00 90.00 90.00°
Sites, in units of the cell vectors:
F: 0.500 0.500 0.500
Sn: 0.000 0.000 0.000
Cd: 0.000 0.500 0.000
Cd: 0.000 0.000 0.500
Cd: 0.500 0.000 0.000

=====

Verdict on stability: i) comes out on top.

=====

i) CdSnF | PBE | relaxed

Summary:
For the volume, the calculation gives 21.22 Å³ per atom. Its crystal system is orthorhombic.

Cell: 3.031 3.953 21.259 Å, 90.00 90.00 90.00°
Sites, in units of the cell vectors:
F: 0.250 0.250 0.470
F: 0.250 0.250 0.970
F: 0.750 0.750 0.530
F: 0.750 0.750 0.030
Cd: 0.750 0.750 0.707
Cd: 0.750 0.750 0.207
Cd: 0.250 0.250 0.293
Cd: 0.250 0.250 0.793
Sn: 0.750 0.250 0.085
Sn: 0.750 0.250 0.585
Sn: 0.250 0.750 0.915
Sn: 0.250 0.750 0.415

=====

ii) CdSnF | PBE | relaxed

Summary:
For the volume, the calculation gives 28.86 Å³ per atom. Its crystal system is tetragonal.

Cell: 4.225 4.225 5.697 Å, 111.76 111.76 90.00°
Sites, in units of the cell vectors:
Cd: 0.047 0.047 0.095
Sn: 0.509 0.509 0.017
F: 0.294 0.294 0.588

=====

Verdict on stability: ii) comes out on top.

=====

i) Sr2CdF6 | PBE | relaxed

Summary:
For the volume, the calculation gives 18.03 Å³ per atom. Its crystal system is monoclinic.

Cell: 6.049 6.282 8.671 Å, 90.00 99.90 90.00°
Sites, in units of the cell vectors:
Sr: 0.956 0.415 0.770
Sr: 0.544 0.915 0.730
Sr: 0.456 0.085 0.270
Sr: 0.044 0.585 0.230
Cd: 0.500 0.500 0.000
Cd: 0.000 0.000 0.500
F: 0.814 0.894 0.272
F: 0.830 0.724 0.610
F: 0.803 0.674 0.945
F: 0.697 0.174 0.555
F: 0.670 0.224 0.890
F: 0.686 0.394 0.228
F: 0.186 0.106 0.728
F: 0.170 0.276 0.390
F: 0.197 0.326 0.055
F: 0.303 0.826 0.445
F: 0.330 0.776 0.110
F: 0.314 0.606 0.772

=====

ii) Sr2CdF6 | PBE | relaxed

Summary:
For the volume, the calculation gives 15.72 Å³ per atom. Its crystal system is orthorhombic.

Cell: 4.068 5.740 7.007 Å, 114.18 106.87 90.00°
Sites, in units of the cell vectors:
Sr: 0.335 0.335 0.670
Sr: 0.665 0.665 0.330
Cd: 0.000 0.000 0.000
F: 0.839 0.082 0.679
F: 0.161 0.404 0.321
F: 0.161 0.918 0.321
F: 0.500 0.236 0.000
F: 0.839 0.596 0.679
F: 0.500 0.764 0.000

=====

Verdict on stability: ii) comes out on top.